1.
First-principles (GGA-PBE) data for crystalline InC at its relaxed geometry, as listed in Alexandria via LeMat-Bulk.

Output
- Excess energy over the best structure of this formula in the dataset: 0.8178 eV/atom
- Energy of formation from the pure elements: 1.53 eV per atom

Cell lengths 5.396, 3.700, 6.268 Å; angles 90.00, 90.00, 90.00 degrees
Space group Pnma (No. 62)
One atom of each set of equivalent atoms:
1 In 0.244 0.250 0.076 [4 per cell]
2 C 0.111 0.750 0.245 [4 per cell]



2.
First-principles (GGA-PBE) data for crystalline In4C at its relaxed geometry, as listed in Alexandria via LeMat-Bulk.

Output
- Energy of formation from the pure elements: 0.87 eV per atom

Cell lengths 6.157, 6.157, 6.157 Å; angles 90.00, 90.00, 90.00 degrees
Space group Im-3m (No. 229)
One atom of each set of equivalent atoms:
1 In 0.250 0.250 0.250 [8 per cell]
2 C 0.000 0.000 0.000 [2 per cell]



3.
First-principles (GGA-PBE) data for crystalline InC at its relaxed geometry, as listed in Alexandria via LeMat-Bulk.

Output
- Excess energy over the best structure of this formula in the dataset: 0.7212 eV/atom
- Energy of formation from the pure elements: 1.43 eV per atom

Cell lengths 5.179, 5.179, 5.179 Å; angles 90.00, 90.00, 90.00 degrees
Space group F-43m (No. 216)
One atom of each set of equivalent atoms:
1 In 0.000 0.000 0.000 [4 per cell]
2 C 0.250 0.250 0.250 [4 per cell]



4.
First-principles (GGA-PBE) data for crystalline In2C at its relaxed geometry, as listed in Alexandria via LeMat-Bulk.

Output
- Energy of formation from the pure elements: 1.25 eV per atom

Cell lengths 6.358, 11.714, 3.371 Å; angles 90.00, 90.00, 90.00 degrees
Space group Cmmm (No. 65)
One atom of each set of equivalent atoms:
1 In 0.000 0.000 0.000 [2 per cell]
2 In 0.000 0.231 0.500 [4 per cell]
3 In 0.000 0.500 0.500 [2 per cell]
4 C 0.000 0.365 0.000 [4 per cell]



5.
First-principles (GGA-PBE) data for crystalline InC2 at its relaxed geometry, as listed in Alexandria via LeMat-Bulk.

Output
- Excess energy over the best structure of this formula in the dataset: 0.0199 eV/atom
- Energy of formation from the pure elements: 0.69 eV per atom

Cell lengths 2.6400, 2.6400, 8.5915 Å; angles 90.00, 90.00, 120.00 degrees
Space group P6/mmm (No. 191)
One atom of each set of equivalent atoms:
1 In 0.0000 0.0000 0.0000 [1 per cell]
2 C 0.3333 0.6667 0.5000 [2 per cell]



6.
First-principles (GGA-PBE) data for crystalline InC2 at its relaxed geometry, as listed in Alexandria via LeMat-Bulk.

Output
- Excess energy over the best structure of this formula in the dataset: 0.9778 eV/atom
- Energy of formation from the pure elements: 1.65 eV per atom

Cell lengths 2.827, 21.644, 2.647 Å; angles 90.00, 90.00, 90.00 degrees
Space group Cmcm (No. 63)
One atom of each set of equivalent atoms:
1 In 0.000 0.142 0.250 [4 per cell]
2 C 0.000 0.254 0.750 [4 per cell]
3 C 0.000 0.498 0.750 [4 per cell]



7.
First-principles (GGA-PBE) data for crystalline InC at its relaxed geometry, as listed in Alexandria via LeMat-Bulk.

Output
- Excess energy over the best structure of this formula in the dataset: 0.8862 eV/atom
- Energy of formation from the pure elements: 1.60 eV per atom

Cell lengths 7.056, 7.056, 7.056 Å; angles 90.00, 90.00, 90.00 degrees
Space group I-43m (No. 217)
One atom of each set of equivalent atoms:
1 In 0.166 0.166 0.834 [8 per cell]
2 C 0.160 0.160 0.160 [8 per cell]



8.
First-principles (GGA-PBE) data for crystalline InC2 at its relaxed geometry, as listed in Alexandria via LeMat-Bulk.

Output
- Excess energy over the best structure of this formula in the dataset: 0.0000 eV/atom
- Energy of formation from the pure elements: 0.67 eV per atom

Cell lengths 12.866, 2.579, 8.295 Å; angles 90.00, 128.33, 90.00 degrees
Space group C2/m (No. 12)
One atom of each set of equivalent atoms:
1 In 0.147 0.000 0.236 [4 per cell]
2 C 0.043 0.500 0.470 [4 per cell]
3 C 0.083 0.000 0.442 [4 per cell]



9.
First-principles (GGA-PBE) data for crystalline InC at its relaxed geometry, as listed in Alexandria via LeMat-Bulk.

Output
- Excess energy over the best structure of this formula in the dataset: 0.8447 eV/atom
- Energy of formation from the pure elements: 1.56 eV per atom

Cell lengths 10.605, 3.713, 5.151 Å; angles 90.00, 90.00, 90.00 degrees
Space group Pmn2_1 (No. 31)
One atom of each set of equivalent atoms:
1 In 0.000 0.023 0.000 [2 per cell]
2 In 0.184 0.658 0.568 [4 per cell]
3 C 0.000 0.505 0.736 [2 per cell]
4 C 0.192 0.850 0.136 [4 per cell]



10.
First-principles (GGA-PBE) data for crystalline InC2 at its relaxed geometry, as listed in Alexandria via LeMat-Bulk.

Output
- Excess energy over the best structure of this formula in the dataset: 0.1689 eV/atom
- Energy of formation from the pure elements: 0.84 eV per atom

Cell lengths 2.620, 11.921, 6.972 Å; angles 90.00, 90.00, 90.00 degrees
Space group Cmcm (No. 63)
One atom of each set of equivalent atoms:
1 In 0.000 0.239 0.250 [4 per cell]
2 C 0.000 0.007 0.750 [4 per cell]
3 C 0.000 0.482 0.250 [4 per cell]



11.
First-principles (GGA-PBE) data for crystalline InC2 at its relaxed geometry, as listed in Alexandria via LeMat-Bulk.

Output
- Excess energy over the best structure of this formula in the dataset: 2.4911 eV/atom
- Energy of formation from the pure elements: 3.16 eV per atom

Cell lengths 3.310, 3.310, 4.485 Å; angles 90.00, 90.00, 90.00 degrees
Space group P4/mmm (No. 123)
One atom of each set of equivalent atoms:
1 In 0.000 0.000 0.000 [1 per cell]
2 C 0.000 0.000 0.500 [1 per cell]
3 C 0.500 0.500 0.000 [1 per cell]



12.
First-principles (GGA-PBE) data for crystalline InC at its relaxed geometry, as listed in Alexandria via LeMat-Bulk.

Output
- Excess energy over the best structure of this formula in the dataset: 0.7339 eV/atom
- Energy of formation from the pure elements: 1.44 eV per atom

Cell lengths 3.6252, 3.6252, 6.0964 Å; angles 90.00, 90.00, 120.00 degrees
Space group P6_3mc (No. 186)
One atom of each set of equivalent atoms:
1 In 0.3333 0.6667 0.0000 [2 per cell]
2 C 0.3333 0.6667 0.6348 [2 per cell]



13.
First-principles (GGA-PBE) data for crystalline InC at its relaxed geometry, as listed in Alexandria via LeMat-Bulk.

Output
- Excess energy over the best structure of this formula in the dataset: 1.1707 eV/atom
- Energy of formation from the pure elements: 1.88 eV per atom

Cell lengths 4.756, 4.756, 4.667 Å; angles 90.00, 90.00, 90.00 degrees
Space group P4/mmm (No. 123)
One atom of each set of equivalent atoms:
1 In 0.000 0.000 0.000 [1 per cell]
2 In 0.000 0.500 0.500 [2 per cell]
3 C 0.000 0.000 0.500 [1 per cell]
4 C 0.000 0.500 0.000 [2 per cell]



14.
First-principles (GGA-PBE) data for crystalline In2C at its relaxed geometry, as listed in Alexandria via LeMat-Bulk.

Output
- Energy of formation from the pure elements: 1.00 eV per atom

Cell lengths 3.486, 10.261, 6.667 Å; angles 90.00, 90.00, 90.00 degrees
Space group Imm2 (No. 44)
One atom of each set of equivalent atoms:
1 In 0.000 0.000 0.000 [2 per cell]
2 In 0.000 0.000 0.475 [2 per cell]
3 In 0.000 0.255 0.769 [4 per cell]
4 C 0.000 0.326 0.454 [4 per cell]



15.
First-principles (GGA-PBE) data for crystalline InC2 at its relaxed geometry, as listed in Alexandria via LeMat-Bulk.

Output
- Excess energy over the best structure of this formula in the dataset: 0.9815 eV/atom
- Energy of formation from the pure elements: 1.65 eV per atom

Cell lengths 2.658, 21.728, 2.816 Å; angles 90.00, 90.00, 90.00 degrees
Space group Cmmm (No. 65)
One atom of each set of equivalent atoms:
1 In 0.000 0.106 0.000 [4 per cell]
2 C 0.000 0.000 0.500 [2 per cell]
3 C 0.000 0.249 0.500 [4 per cell]
4 C 0.000 0.500 0.000 [2 per cell]



16.
First-principles (GGA-PBE) data for crystalline In5C at its relaxed geometry, as listed in Alexandria via LeMat-Bulk.

Output
- Excess energy over the best structure of this formula in the dataset: 0.1518 eV/atom
- Energy of formation from the pure elements: 0.68 eV per atom

Cell lengths 3.419, 16.957, 5.309 Å; angles 90.00, 90.00, 90.00 degrees
Space group Cmmm (No. 65)
One atom of each set of equivalent atoms:
1 In 0.000 0.000 0.000 [2 per cell]
2 In 0.000 0.098 0.500 [4 per cell]
3 In 0.000 0.330 0.000 [4 per cell]
4 C 0.000 0.500 0.500 [2 per cell]



17.
First-principles (GGA-PBE) data for crystalline InC at its relaxed geometry, as listed in Alexandria via LeMat-Bulk.

Output
- Excess energy over the best structure of this formula in the dataset: 0.8090 eV/atom
- Energy of formation from the pure elements: 1.52 eV per atom

Cell lengths 4.832, 4.832, 4.832 Å; angles 90.00, 90.00, 90.00 degrees
Space group Fm-3m (No. 225)
One atom of each set of equivalent atoms:
1 In 0.000 0.000 0.000 [4 per cell]
2 C 0.000 0.000 0.500 [4 per cell]



18.
First-principles (GGA-PBE) data for crystalline InC2 at its relaxed geometry, as listed in Alexandria via LeMat-Bulk.

Output
- Excess energy over the best structure of this formula in the dataset: 0.4070 eV/atom
- Energy of formation from the pure elements: 1.08 eV per atom

Cell lengths 3.6044, 3.6044, 12.6881 Å; angles 90.00, 90.00, 120.00 degrees
Space group P-3m1 (No. 164)
One atom of each set of equivalent atoms:
1 In 0.0000 0.0000 0.0000 [1 per cell]
2 In 0.3333 0.6667 0.3662 [2 per cell]
3 C 0.0000 0.0000 0.4457 [2 per cell]
4 C 0.3333 0.6667 0.0975 [2 per cell]
5 C 0.3333 0.6667 0.1965 [2 per cell]



19.
First-principles (GGA-PBE) data for crystalline InC at its relaxed geometry, as listed in Alexandria via LeMat-Bulk.

Output
- Excess energy over the best structure of this formula in the dataset: 0.0000 eV/atom
- Energy of formation from the pure elements: 0.71 eV per atom

Cell lengths 3.474, 14.355, 2.654 Å; angles 90.00, 90.00, 90.00 degrees
Space group Cmcm (No. 63)
One atom of each set of equivalent atoms:
1 In 0.000 0.152 0.250 [4 per cell]
2 C 0.000 0.482 0.750 [4 per cell]



20.
First-principles (GGA-PBE) data for crystalline InC2 at its relaxed geometry, as listed in Alexandria via LeMat-Bulk.

Output
- Excess energy over the best structure of this formula in the dataset: 0.5008 eV/atom
- Energy of formation from the pure elements: 1.17 eV per atom

Cell lengths 3.4093, 3.4093, 4.2347 Å; angles 90.00, 90.00, 120.00 degrees
Space group P-6m2 (No. 187)
One atom of each set of equivalent atoms:
1 In 0.0000 0.0000 0.0000 [1 per cell]
2 C 0.6667 0.3333 0.3489 [2 per cell]



21.
First-principles (GGA-PBE) data for crystalline InC2 at its relaxed geometry, as listed in Alexandria via LeMat-Bulk.

Output
- Excess energy over the best structure of this formula in the dataset: 0.8436 eV/atom
- Energy of formation from the pure elements: 1.51 eV per atom

Cell lengths 4.5233, 4.5233, 9.6092 Å; angles 90.00, 90.00, 120.00 degrees
Space group R3m (No. 160, hexagonal axes)
One atom of each set of equivalent atoms:
1 In 0.0000 0.0000 0.0000 [3 per cell]
2 C 0.0000 0.0000 0.6289 [3 per cell]
3 C 0.0000 0.0000 0.7619 [3 per cell]



22.
First-principles (GGA-PBE) data for crystalline In2C at its relaxed geometry, as listed in Alexandria via LeMat-Bulk.

Output
- Energy of formation from the pure elements: 1.06 eV per atom

Cell lengths 3.387, 3.387, 4.986 Å; angles 90.00, 90.00, 90.00 degrees
Space group P4/mmm (No. 123)
One atom of each set of equivalent atoms:
1 In 0.000 0.000 0.000 [1 per cell]
2 In 0.500 0.500 0.500 [1 per cell]
3 C 0.000 0.000 0.500 [1 per cell]



23.
First-principles (GGA-PBE) data for crystalline InC at its relaxed geometry, as listed in Alexandria via LeMat-Bulk.

Output
- Excess energy over the best structure of this formula in the dataset: 0.0581 eV/atom
- Energy of formation from the pure elements: 0.77 eV per atom

Cell lengths 3.541, 3.559, 6.822 Å; angles 90.18, 104.99, 119.78 degrees
Space group P-1 (No. 2)
One atom of each set of equivalent atoms:
1 In 0.146 0.070 0.221 [2 per cell]
2 C 0.068 0.534 0.603 [2 per cell]



24.
First-principles (GGA-PBE) data for crystalline InC2 at its relaxed geometry, as listed in Alexandria via LeMat-Bulk.

Output
- Excess energy over the best structure of this formula in the dataset: 0.1734 eV/atom
- Energy of formation from the pure elements: 0.84 eV per atom

Cell lengths 10.231, 2.632, 3.408 Å; angles 90.00, 90.16, 90.00 degrees
Space group C2/m (No. 12)
One atom of each set of equivalent atoms:
1 In 0.000 0.000 0.000 [2 per cell]
2 C 0.238 0.000 0.499 [4 per cell]



25.
First-principles (GGA-PBE) data for crystalline InC at its relaxed geometry, as listed in Alexandria via LeMat-Bulk.

Output
- Excess energy over the best structure of this formula in the dataset: 0.1982 eV/atom
- Energy of formation from the pure elements: 0.91 eV per atom

Cell lengths 6.128, 6.377, 8.041 Å; angles 90.00, 90.00, 90.00 degrees
Space group P2_12_12_1 (No. 19)
One atom of each set of equivalent atoms:
1 In 0.169 0.224 0.332 [4 per cell]
2 In 0.210 0.324 0.957 [4 per cell]
3 C 0.049 0.120 0.601 [4 per cell]
4 C 0.165 0.092 0.733 [4 per cell]



26.
First-principles (GGA-PBE) data for crystalline In2C at its relaxed geometry, as listed in Alexandria via LeMat-Bulk.

Output
- Energy of formation from the pure elements: 1.02 eV per atom

Cell lengths 3.4859, 3.4859, 5.5876 Å; angles 90.00, 90.00, 120.00 degrees
Space group P-6m2 (No. 187)
One atom of each set of equivalent atoms:
1 In 0.0000 0.0000 0.2448 [2 per cell]
2 C 0.6667 0.3333 0.0000 [1 per cell]



27.
First-principles (GGA-PBE) data for crystalline In2C at its relaxed geometry, as listed in Alexandria via LeMat-Bulk.

Output
- Energy of formation from the pure elements: 0.89 eV per atom

Cell lengths 3.5800, 3.5800, 4.9609 Å; angles 90.00, 90.00, 120.00 degrees
Space group P-3m1 (No. 164)
One atom of each set of equivalent atoms:
1 In 0.3333 0.6667 0.2483 [2 per cell]
2 C 0.0000 0.0000 0.0000 [1 per cell]



28.
First-principles (GGA-PBE) data for crystalline In2C at its relaxed geometry, as listed in Alexandria via LeMat-Bulk.

Output
- Energy of formation from the pure elements: 1.23 eV per atom

Cell lengths 3.555, 5.826, 11.440 Å; angles 90.00, 90.00, 90.00 degrees
Space group Fmmm (No. 69)
One atom of each set of equivalent atoms:
1 In 0.000 0.000 0.133 [8 per cell]
2 C 0.000 0.000 0.500 [4 per cell]



Total moment
In order: 0.000 0.000 0.000 0.230 0.000 0.000 0.000 0.000 0.000 0.000 0.513 0.000 0.000 0.000 0.000 0.001 0.000 0.000 0.000 0.000 0.000 0.000 0.000 0.000 0.000 0.000 0.000 0.000
Unit: μB per formula unit